This record from Alexandria describes crystalline YBe2Te at its relaxed geometry. The functional is GGA-PBEsol.

CIF file:
```
data_YBe2Te
_symmetry_space_group_name_H-M 'P m m m'
_symmetry_Int_Tables_number 47
_symmetry_space_group_name_Hall '-P 2 2'
_cell_length_a 3.794
_cell_length_b 3.945
_cell_length_c 5.195
_cell_angle_alpha 90.00
_cell_angle_beta 90.00
_cell_angle_gamma 90.00
loop_
_atom_site_label
_atom_site_fract_x
_atom_site_fract_y
_atom_site_fract_z
Y1 0.000 0.000 0.000
Be1 0.500 0.500 0.192
Te1 0.000 0.500 0.500
```

VASP energy   -18.55 eV/cell



This record from Alexandria describes crystalline YBeTe2 at its relaxed geometry. The functional is GGA-PBEsol.

CIF file:
```
data_YBeTe2
_symmetry_space_group_name_H-M 'P 4 m m'
_symmetry_Int_Tables_number 99
_symmetry_space_group_name_Hall 'P 4 -2'
_cell_length_a 4.114
_cell_length_b 4.114
_cell_length_c 6.052
_cell_angle_alpha 90.00
_cell_angle_beta 90.00
_cell_angle_gamma 90.00
loop_
_atom_site_label
_atom_site_fract_x
_atom_site_fract_y
_atom_site_fract_z
Y1 0.000 0.000 0.000
Be1 0.500 0.500 0.383
Te1 0.000 0.000 0.486
Te2 0.500 0.500 0.964
```

VASP energy   -19.92 eV/cell



This record from Alexandria describes crystalline YBe2Te at its relaxed geometry. The functional is GGA-PBEsol.

CIF file:
```
data_YBe2Te
_symmetry_space_group_name_H-M 'I m m 2'
_symmetry_Int_Tables_number 44
_symmetry_space_group_name_Hall 'I 2 -2'
_cell_length_a 3.774
_cell_length_b 3.822
_cell_length_c 9.920
_cell_angle_alpha 90.00
_cell_angle_beta 90.00
_cell_angle_gamma 90.00
loop_
_atom_site_label
_atom_site_fract_x
_atom_site_fract_y
_atom_site_fract_z
Y1 0.000 0.000 0.000
Be1 0.000 0.000 0.416
Be2 0.000 0.500 0.774
Te1 0.000 0.500 0.245
```

VASP energy   -37.28 eV/cell



This record from Alexandria describes crystalline YBeTe2 at its relaxed geometry. The functional is GGA-PBEsol.

CIF file:
```
data_YBeTe2
_symmetry_space_group_name_H-M 'R -3 m'
_symmetry_Int_Tables_number 166
_symmetry_space_group_name_Hall '-R 3 2"'
_cell_length_a 3.8928
_cell_length_b 3.8928
_cell_length_c 21.5096
_cell_angle_alpha 90.00
_cell_angle_beta 90.00
_cell_angle_gamma 120.00
loop_
_atom_site_label
_atom_site_fract_x
_atom_site_fract_y
_atom_site_fract_z
Y1 0.0000 0.0000 0.0000
Be1 0.0000 0.0000 0.5000
Te1 0.0000 0.0000 0.2360
```

VASP energy   -60.55 eV/cell



This record from Alexandria describes crystalline YBeTe2 at its relaxed geometry. The functional is GGA-PBEsol.

CIF file:
```
data_YBeTe2
_symmetry_space_group_name_H-M 'P 1 2/m 1'
_symmetry_Int_Tables_number 10
_symmetry_space_group_name_Hall '-P 2y'
_cell_length_a 3.864
_cell_length_b 3.667
_cell_length_c 6.995
_cell_angle_alpha 90.00
_cell_angle_beta 104.47
_cell_angle_gamma 90.00
loop_
_atom_site_label
_atom_site_fract_x
_atom_site_fract_y
_atom_site_fract_z
Y1 0.000 0.000 0.000
Be1 0.500 0.000 0.500
Te1 0.403 0.500 0.736
```

VASP energy   -19.96 eV/cell



This record from Alexandria describes crystalline Y2BeTe at its relaxed geometry. The functional is GGA-PBEsol.

CIF file:
```
data_Y2BeTe
_symmetry_space_group_name_H-M 'P 4/m m m'
_symmetry_Int_Tables_number 123
_symmetry_space_group_name_Hall '-P 4 2'
_cell_length_a 3.690
_cell_length_b 3.690
_cell_length_c 6.723
_cell_angle_alpha 90.00
_cell_angle_beta 90.00
_cell_angle_gamma 90.00
loop_
_atom_site_label
_atom_site_fract_x
_atom_site_fract_y
_atom_site_fract_z
Y1 0.000 0.000 0.235
Be1 0.500 0.500 0.000
Te1 0.500 0.500 0.500
```

VASP energy   -23.03 eV/cell



| no. | relative energy among the computed polymorphs (eV/atom) |
| --- | --- |
| 1 | 0.024 |
| 2 | 0.066 |
| 3 | 0.000 |
| 4 | 0.000 |
| 5 | 0.056 |
| 6 | 0.000 |